(1)
This record from Alexandria via LeMat-Bulk describes Na3LaTc after structural relaxation. The functional is PBE-GGA.

Cell lengths 5.3495, 5.3495, 18.8286 Å; angles 90.00, 90.00, 120.00 degrees
With the nearest neighbours (Å) after each atom.
Space group R3m (No. 160, hexagonal axes)
Asymmetric unit:
1 Na 0.1669 0.3339 0.0000  4 Na 2.67-2.68
2 La 0.0000 0.0000 0.1720  3 Tc 3.15, 3 Na 3.41
3 Tc 0.0000 0.0000 0.5387  3 La 3.15

Total magnetization = 5.3 Bohr magnetons per cell
Excess energy over the best structure of this formula in the dataset = 1.046 eV/atom
V = 31.1 Å³ per atom
Formation enthalpy at 0 K = 24.92 kcal/mol of atoms



(2)
This record from Alexandria via LeMat-Bulk describes YSn2Ge2 after structural relaxation. The functional is PBE-GGA.

Cell lengths 8.0000, 8.0000, 3.8534 Å; angles 90.00, 90.00, 90.00 degrees
With the nearest neighbours (Å) after each atom.
Space group P4/mbm (No. 127)
Asymmetric unit:
1 Y 0.0000 0.0000 0.0000  4 Sn 3.12
2 Sn 0.1341 0.3659 0.0000  6 Ge 3.02-3.05, 1 Sn 3.03, 2 Y 3.12
3 Ge 0.1603 0.6603 0.5000  6 Sn 3.02-3.05

Total magnetization = 0.0 Bohr magnetons per cell
Excess energy over the best structure of this formula in the dataset = 0.162 eV/atom
V = 24.7 Å³ per atom
Formation enthalpy at 0 K = -1.11 kcal/mol of atoms



(3)
This record from Alexandria via LeMat-Bulk describes LiTe2Se after structural relaxation. The functional is PBE-GGA.

Cell lengths 4.3796, 4.3796, 23.1659 Å; angles 90.00, 90.00, 120.00 degrees
With the nearest neighbours (Å) after each atom.
Space group R-3m (No. 166, hexagonal axes)
Asymmetric unit:
1 Li 0.0000 0.0000 0.0000  6 Te 2.82
2 Te 0.0000 0.0000 0.3875  1 Se 2.61, 3 Li 2.82
3 Se 0.0000 0.0000 0.5000  2 Te 2.61

Total magnetization = 0.0 Bohr magnetons per cell
V = 32.1 Å³ per atom
Formation energy (no corrections) = -0.07 eV/atom



(4)
This record from Alexandria via LeMat-Bulk describes TbAuBr6 after structural relaxation. The functional is PBE-GGA.

Cell lengths 5.8993, 7.3154, 8.0001 Å; angles 68.17, 72.38, 86.08 degrees
With the nearest neighbours (Å) after each atom.
Space group P-1 (No. 2)
Asymmetric unit:
1 Tb 0.0000 0.0000 0.0000  6 Br 2.70-2.91
2 Au 0.5000 0.5000 0.0000  4 Br 2.49-2.53
3 Br 0.0241 0.8102 0.3549  1 Tb 2.70
4 Br 0.2794 0.3711 0.8363  1 Au 2.53
5 Br 0.4152 0.8378 0.8067  1 Au 2.49

Total magnetization = 0.0 Bohr magnetons per cell
V = 38.1 Å³ per atom
Formation energy (no corrections) = -0.92 eV/atom



(5)
This record from Alexandria via LeMat-Bulk describes Ti6Tl2O after structural relaxation. The functional is PBE-GGA.

Cell lengths 10.3841, 5.9461, 4.8273 Å; angles 90.00, 90.59, 90.00 degrees
With the nearest neighbours (Å) after each atom.
Space group C2/m (No. 12)
Asymmetric unit:
1 Ti 0.0802 0.2441 0.2325  1 O 2.12
2 Ti 0.1662 0.0000 0.7590  1 O 2.12
3 Tl 0.1668 0.5000 0.7384  12 Ti 2.97-3.01
4 O 0.0000 0.0000 0.5000  6 Ti 2.12

Total magnetization = 0.0 Bohr magnetons per cell
Excess energy over the best structure of this formula in the dataset = 0.000 eV/atom
V = 16.6 Å³ per atom
Formation energy (no corrections) = -0.61 eV/atom



(6)
This record from Alexandria via LeMat-Bulk describes GaRe3Pt after structural relaxation. The functional is PBE-GGA.

Cell lengths 4.4640, 4.4640, 4.4640 Å; angles 90.00, 90.00, 90.00 degrees
With the nearest neighbours (Å) after each atom.
Space group Pm-3m (No. 221)
Asymmetric unit:
1 Ga 0.0000 0.0000 0.0000  6 Re 2.23
2 Re 0.0000 0.0000 0.5000  2 Ga 2.23
3 Pt 0.5000 0.5000 0.5000  12 Re 3.16

Total magnetization = 0.0 Bohr magnetons per cell
Excess energy over the best structure of this formula in the dataset = 0.000 eV/atom
V = 17.8 Å³ per atom
Formation enthalpy at 0 K = 43.95 kcal/mol of atoms



(7)
This record from Alexandria via LeMat-Bulk describes Rb2CuClF6 after structural relaxation. The functional is PBE-GGA.

Cell lengths 5.9307, 5.9307, 9.6984 Å; angles 90.00, 90.00, 90.00 degrees
With the nearest neighbours (Å) after each atom.
Space group I4/mmm (No. 139)
Asymmetric unit:
1 Rb 0.0000 0.5000 0.2500  12 F 3.02-3.21
2 Cu 0.0000 0.0000 0.0000  6 F 1.87-1.97
3 Cl 0.0000 0.0000 0.5000  4 F 2.23
4 F 0.0000 0.0000 0.1925  1 Cu 1.87
5 F 0.2343 0.2343 0.0000  1 Cu 1.97

Total magnetization = 0.0 Bohr magnetons per cell
V = 17.1 Å³ per atom
Formation energy (no corrections) = -1.73 eV/atom



(8)
This record from Alexandria via LeMat-Bulk describes Pr4Cd3Hg after structural relaxation. The functional is PBE-GGA.

Cell lengths 3.6846, 5.0319, 12.6447 Å; angles 90.00, 90.00, 90.00 degrees
With the nearest neighbours (Å) after each atom.
Space group Pmm2 (No. 25)
Asymmetric unit:
1 Pr 0.0000 0.0000 0.0000  5 Cd 3.29-3.48, 2 Hg 3.43, 2 Pr 3.68
2 Pr 0.0000 0.5000 0.3098  4 Hg 3.28, 3 Cd 3.40-3.48
3 Pr 0.5000 0.0000 0.4967  6 Cd 3.31-3.42, 1 Hg 3.39, 2 Pr 3.68
4 Pr 0.5000 0.5000 0.8136  7 Cd 3.31-3.43, 2 Pr 3.68
5 Cd 0.0000 0.0000 0.7249  2 Cd 3.08, 6 Pr 3.31-3.42
6 Cd 0.0000 0.5000 0.5850  2 Cd 3.08, 6 Pr 3.31-3.43
7 Cd 0.5000 0.5000 0.0838  2 Hg 3.11, 7 Pr 3.29-3.42
8 Hg 0.5000 0.0000 0.2285  2 Cd 3.11, 7 Pr 3.28-3.43

Total magnetization = 0.0 Bohr magnetons per cell
Excess energy over the best structure of this formula in the dataset = 0.044 eV/atom
V = 29.3 Å³ per atom
Formation enthalpy at 0 K = -7.16 kcal/mol of atoms



(9)
This record from Alexandria via LeMat-Bulk describes CeGa4Cu2 after structural relaxation. The functional is PBE-GGA.

Cell lengths 16.9096, 4.3850, 6.4990 Å; angles 90.00, 90.00, 90.00 degrees
With the nearest neighbours (Å) after each atom.
Space group Pnma (No. 62)
Asymmetric unit:
1 Ce 0.1352 0.2500 0.0037  10 Ga 3.03-3.36, 5 Cu 3.15-3.30
2 Ga 0.0353 0.7500 0.8124  3 Cu 2.53-2.77, 2 Ga 2.72-2.73
3 Ga 0.0738 0.2500 0.4954  2 Cu 2.46-2.54, 1 Ga 2.72
4 Ga 0.1843 0.7500 0.3104  4 Cu 2.52-2.63, 1 Ga 2.60
5 Ga 0.1921 0.7500 0.7103  3 Cu 2.49-2.57, 2 Ga 2.60-2.73
6 Cu 0.0363 0.7500 0.2379  5 Ga 2.53-2.77
7 Cu 0.2191 0.2500 0.5152  7 Ga 2.46-2.63

Total magnetization = 1.2 Bohr magnetons per cell
V = 17.2 Å³ per atom
Formation enthalpy at 0 K = -8.47 kcal/mol of atoms



(10)
This record from Alexandria via LeMat-Bulk describes RbLaCo2 after structural relaxation. The functional is PBE-GGA.

Cell lengths 5.0440, 5.0440, 18.0657 Å; angles 90.00, 90.00, 90.00 degrees
With the nearest neighbours (Å) after each atom.
Space group I4_1/amd (No. 141, origin choice 2)
Asymmetric unit:
1 Rb 0.0000 0.2500 0.3750  4 La 3.57, 8 Co 3.61
2 La 0.0000 0.2500 0.8750  4 Co 2.59
3 Co 0.0000 0.0000 0.0000  2 Co 2.52, 2 La 2.59

Total magnetization = 7.6 Bohr magnetons per cell
Excess energy over the best structure of this formula in the dataset = 0.000 eV/atom
V = 28.7 Å³ per atom
Formation enthalpy at 0 K = 18.64 kcal/mol of atoms



(11)
This record from Alexandria via LeMat-Bulk describes Mn2ReSb after structural relaxation. The functional is PBE-GGA.

Cell lengths 2.9566, 2.9566, 7.2029 Å; angles 90.00, 90.00, 90.00 degrees
With the nearest neighbours (Å) after each atom.
Space group P4mm (No. 99)
Asymmetric unit:
1 Mn 0.0000 0.0000 0.0000  8 Mn 2.64-2.96, 4 Sb 2.94
2 Mn 0.5000 0.5000 0.2246  4 Re 2.49, 4 Mn 2.64
3 Re 0.0000 0.0000 0.4135  4 Mn 2.49
4 Sb 0.5000 0.5000 0.7122  4 Mn 2.94, 4 Sb 2.96, 4 Re 3.00

Total magnetization = 3.6 Bohr magnetons per cell
V = 15.7 Å³ per atom
Formation energy (no corrections) = 0.42 eV/atom



(12)
This record from Alexandria via LeMat-Bulk describes CdPdPt after structural relaxation. The functional is PBE-GGA.

Cell lengths 4.5583, 4.5583, 2.8193 Å; angles 90.00, 90.00, 120.00 degrees
With the nearest neighbours (Å) after each atom.
Space group P3m1 (No. 156)
Asymmetric unit:
1 Cd 0.0000 0.0000 0.0000  3 Pd 2.76, 3 Pt 2.78, 2 Cd 2.82
2 Pd 0.3333 0.6667 0.7019  3 Cd 2.76, 2 Pd 2.82, 3 Pt 2.85
3 Pt 0.6667 0.3333 0.3123  3 Cd 2.78, 2 Pt 2.82, 3 Pd 2.85

Total magnetization = 0.0 Bohr magnetons per cell
Excess energy over the best structure of this formula in the dataset = 0.033 eV/atom
V = 16.9 Å³ per atom
Formation enthalpy at 0 K = -4.37 kcal/mol of atoms